The following is a GGA-PBE calculation of a geometry-optimized K3Mg2Cd4 structure, from the Alexandria database.

Properties
The energy relative to the elements is -0.31 eV per formula unit. The value obtained for the total magnetization is 0.00 Bohr magnetons per cell. The density of states at the Fermi level is 5.53 states/eV/f.u.

Cell lengths 6.9623, 6.9623, 10.0401 Å; angles 105.75, 105.75, 42.68 degrees
With the nearest neighbours (Å) after each atom.
Sites, in units of the cell vectors:
K 0.0000 0.0000 0.0000  6 Cd 3.59-3.98
K 0.3759 0.3759 0.6266  6 Cd 3.70-3.79, 4 Mg 3.80-4.13
K 0.6241 0.6241 0.3734  6 Cd 3.70-3.79, 4 Mg 3.80-4.13
Mg 0.3186 0.3186 0.2288  5 Cd 2.95-2.98
Mg 0.6814 0.6814 0.7712  5 Cd 2.95-2.98
Cd 0.0854 0.0854 0.6323  2 Cd 2.92-3.06, 2 Mg 2.98
Cd 0.2524 0.2524 0.9196  3 Mg 2.95-2.97, 3 Cd 3.01-3.06
Cd 0.7476 0.7476 0.0804  3 Mg 2.95-2.97, 3 Cd 3.01-3.06
Cd 0.9146 0.9146 0.3677  2 Cd 2.92-3.06, 2 Mg 2.98